# 1
Entry from Alexandria: crystalline LiMg2Fe2 at its relaxed geometry (PBE).

Cell and atoms, written as POSCAR:
```
LiMg2Fe2
1.0
-3.598 -6.252 2.956
6.748 -3.902 -0.040
0.539 0.906 2.572
Mg Fe Li
4 4 2
Cartesian
1.694 -7.767 2.381
-1.215 -5.008 2.018
4.365 -5.146 0.898
1.456 -2.387 0.535
-0.283 -6.689 3.917
-0.448 -2.427 2.451
3.973 -2.559 1.571
4.138 -6.821 3.037
1.575 -5.077 1.458
0.000 0.000 0.000
```

Results
Relative energy among the computed polymorphs, meV per atom: 0
Energy of formation from the pure elements, eV per formula unit: 1.5
Size of the total moment, μB/cell: 9.4
SG: P4/mbm (127)

# 2
Entry from Alexandria: crystalline NdHoAlTl at its relaxed geometry (PBE).

Cell and atoms, written as POSCAR:
```
NdHoAlTl
1.0
3.708 0.000 0.000
0.000 3.708 0.000
0.000 0.000 7.711
Nd Al Ho Tl
1 1 1 1
Cartesian
1.854 1.854 0.938
0.000 0.000 2.850
1.854 1.854 4.580
0.000 0.000 6.498
```

Results
Relative energy among the computed polymorphs, meV per atom: 0
Energy of formation from the pure elements, eV per formula unit: -1.4
Size of the total moment, μB/cell: 0.0
SG: P4mm (99)

# 3
Entry from Alexandria: crystalline KF3 at its relaxed geometry (PBE).

Cell and atoms, written as POSCAR:
```
KF3
1.0
-2.516 -2.931 -1.180
2.498 -2.769 1.552
-2.100 3.108 3.670
F K
3 1
Cartesian
-0.009 -2.850 0.186
-1.282 0.157 2.344
-0.836 -2.749 1.697
0.000 0.000 0.000
```

Results
Formation energy without anion corrections, eV per atom: -1.40
Size of the total moment, μB/cell: 0.0
SG: I4/mmm (139)

# 4
Entry from Alexandria: crystalline Ac2NiSb4Au3 at its relaxed geometry (PBE).

Cell and atoms, written as POSCAR:
```
Ac2NiSb4Au3
1.0
4.805 0.000 0.000
0.000 4.805 0.000
0.000 0.000 11.055
Ac Sb Au Ni
2 4 3 1
Cartesian
0.000 2.402 8.051
2.402 0.000 3.004
0.000 2.402 4.244
2.402 2.402 0.000
0.000 0.000 0.000
2.402 0.000 6.810
0.000 0.000 5.527
0.000 2.402 1.567
2.402 0.000 9.487
2.402 2.402 5.527
```

Results
Formation energy without anion corrections, eV per atom: -0.56
Size of the total moment, μB/cell: 0.0
SG: P-4m2 (115)

# 5
Entry from Alexandria: crystalline Al2TcNi at its relaxed geometry (PBE).

Cell and atoms, written as POSCAR:
```
Al2TcNi
1.0
4.916 0.039 0.030
4.113 2.692 0.030
1.481 0.448 4.154
Al Ni Tc
2 1 1
Cartesian
7.878 2.383 2.862
9.076 2.745 0.312
5.367 1.624 2.408
2.472 0.748 0.801
```

Results
Energy of formation from the pure elements, eV per formula unit: -1.6
Size of the total moment, μB/cell: 0.0
SG: Cm (8)

# 6
Entry from Alexandria: crystalline Tc4NiRu at its relaxed geometry (PBE).

Cell and atoms, written as POSCAR:
```
Tc4NiRu
1.0
0.000 3.556 3.556
3.556 0.000 3.556
3.556 3.556 0.000
Ru Tc Ni
1 4 1
Cartesian
0.000 0.000 0.000
4.437 4.437 2.674
2.674 4.437 4.437
4.437 2.674 4.437
2.674 2.674 2.674
5.334 5.334 5.334
```

Results
Energy of formation from the pure elements, eV per formula unit: 2.6
Size of the total moment, μB/cell: 0.0
SG: F-43m (216)